The following is a meta-GGA SCAN calculation of a crystal of TlRe2Hg relaxed with PBEsol, from Alexandria.

Values from the calculation:
E_tot (eV/atom): -69.293
Formation energy from the elements (eV per atom): 1.387
Fermi-level density of states (states/eV per cell): 3.3

Structure (extended XYZ):
```
4
Lattice="2.808 0.000 0.000 0.000 2.808 0.000 0.000 0.000 8.886" Properties=species:S:1:pos:R:3 pbc="T T T"
Tl 0.000 0.000 0.000
Re 1.404 1.404 2.271
Re 1.404 1.404 6.616
Hg 0.000 0.000 4.443
```

---

The following is a meta-GGA SCAN calculation of a crystal of Cr2SiAg relaxed with PBEsol, from Alexandria.

Values from the calculation:
E_tot (eV/atom): -19.397
Fermi-level density of states (states/eV per cell): 0.9
Energy relative to the elements, uncorrected (eV/atom): 0.1406

Structure (extended XYZ):
```
4
Lattice="2.904 0.000 0.000 0.000 2.904 0.000 0.000 0.000 6.288" Properties=species:S:1:pos:R:3 pbc="T T T"
Cr 0.000 0.000 0.000
Cr 1.452 1.452 1.223
Si 0.000 0.000 2.585
Ag 1.452 1.452 4.372
```

---

The following is a meta-GGA SCAN calculation of a crystal of CuSeNO2 relaxed with PBEsol, from Alexandria.

Values from the calculation:
E_tot (eV/atom): -10.702
Fermi-level density of states (states/eV per cell): 1.9
Energy relative to the elements, uncorrected (eV/atom): 0.7045

Structure (extended XYZ):
```
5
Lattice="3.719 0.000 0.000 0.000 3.719 0.000 0.000 0.000 3.815" Properties=species:S:1:pos:R:3 pbc="T T T"
Cu 0.000 0.000 0.000
Se 1.860 1.860 1.907
N 1.860 1.860 0.000
O 0.000 1.860 1.907
O 1.860 0.000 1.907
```

---

The following is a meta-GGA SCAN calculation of a crystal of LaInNi5 relaxed with PBEsol, from Alexandria.

Values from the calculation:
E_tot (eV/atom): -22.737
Formation energy from the elements (eV per atom): -0.257
Fermi-level density of states (states/eV per cell): 21.4

Structure (extended XYZ):
```
28
Lattice="4.869 0.000 0.000 -2.434 4.216 0.000 0.000 0.000 19.670" Properties=species:S:1:pos:R:3 pbc="T T T"
La 0.000 0.000 0.000
La 0.000 0.000 9.835
La 0.000 2.811 4.918
La 2.434 1.405 14.753
In 0.000 2.811 1.677
In 0.000 2.811 8.159
In 2.434 1.405 11.512
In 2.434 1.405 17.994
Ni 0.000 0.000 4.918
Ni 0.000 0.000 14.753
Ni 0.000 1.398 12.743
Ni 0.000 1.398 16.763
Ni -1.223 3.517 12.743
Ni -1.223 3.517 16.763
Ni 1.211 0.699 2.908
Ni 1.211 0.699 6.928
Ni 0.000 2.811 10.782
Ni 0.000 2.811 14.753
Ni 0.000 2.811 18.723
Ni 2.434 1.405 0.947
Ni 2.434 1.405 4.918
Ni 2.434 1.405 8.888
Ni 1.223 3.517 12.743
Ni 1.223 3.517 16.763
Ni 3.658 0.699 2.908
Ni 3.658 0.699 6.928
Ni 2.434 2.818 2.908
Ni 2.434 2.818 6.928
```

---

The following is a meta-GGA SCAN calculation of a crystal of MnAg2Ir relaxed with PBEsol, from Alexandria.

Values from the calculation:
E_tot (eV/atom): -38.000
Formation energy from the elements (eV per atom): 0.022
Fermi-level density of states (states/eV per cell): 1.8

Structure (extended XYZ):
```
4
Lattice="2.866 0.000 0.000 0.000 3.582 0.000 0.000 0.000 5.886" Properties=species:S:1:pos:R:3 pbc="T T T"
Mn 0.000 0.000 0.000
Ag 0.000 0.000 3.142
Ag 1.433 1.791 1.635
Ir 1.433 1.791 4.765
```

---

The following is a meta-GGA SCAN calculation of a crystal of Tc5Rh relaxed with PBEsol, from Alexandria.

Values from the calculation:
E_tot (eV/atom): -34.943
Formation energy from the elements (eV per atom): -0.098
Fermi-level density of states (states/eV per cell): 4.6

Structure (extended XYZ):
```
6
Lattice="4.717 0.000 0.000 -2.359 4.085 0.000 0.000 0.000 4.299" Properties=species:S:1:pos:R:3 pbc="T T T"
Tc -1.573 2.724 0.000
Tc 0.786 1.361 0.000
Tc 0.000 2.724 2.150
Tc 3.146 0.000 0.000
Tc 2.359 1.362 2.150
Rh 0.000 0.000 2.150
```

---

The following is a meta-GGA SCAN calculation of a crystal of AgSbI2Br relaxed with PBEsol, from Alexandria.

Values from the calculation:
E_tot (eV/atom): -31.462
Fermi-level density of states (states/eV per cell): 2.9
Energy relative to the elements, uncorrected (eV/atom): 0.8520

Structure (extended XYZ):
```
5
Lattice="5.832 0.000 0.000 0.000 5.832 0.000 0.000 0.000 5.512" Properties=species:S:1:pos:R:3 pbc="T T T"
Ag 0.000 0.000 0.000
Sb 2.916 2.916 0.000
I 0.000 2.916 2.756
I 2.916 0.000 2.756
Br 2.916 2.916 2.756
```

---

The following is a meta-GGA SCAN calculation of a crystal of BeAlPbC2 relaxed with PBEsol, from Alexandria.

Values from the calculation:
E_tot (eV/atom): -19.691
Formation energy from the elements (eV per atom): 1.926
Fermi-level density of states (states/eV per cell): 2.6

Structure (extended XYZ):
```
5
Lattice="3.842 0.000 0.000 0.000 3.842 0.000 0.000 0.000 5.701" Properties=species:S:1:pos:R:3 pbc="T T T"
Be 0.000 0.000 0.000
Al 1.921 1.921 2.850
Pb 1.921 1.921 0.000
C 0.000 1.921 2.850
C 1.921 0.000 2.850
```

---

The following is a meta-GGA SCAN calculation of a crystal of Li4Ti2Si4O13 relaxed with PBEsol, from Alexandria.

Values from the calculation:
E_tot (eV/atom): -9.954
Energy relative to the elements, uncorrected (eV/atom): -2.8805

Structure (extended XYZ):
```
92
Lattice="13.743 0.000 0.000 0.000 5.005 0.000 0.000 0.000 13.986" Properties=species:S:1:pos:R:3 pbc="T T T"
Li 0.444 0.859 0.000
Li 1.584 3.379 4.197
Li 1.789 3.262 1.568
Li 2.952 1.277 5.419
Li 3.919 3.779 12.412
Li 5.083 0.759 8.561
Li 5.287 0.876 11.190
Li 6.428 3.361 6.993
Li 7.315 1.643 0.000
Li 8.456 4.128 4.197
Li 8.660 4.245 1.568
Li 9.824 1.226 5.419
Li 10.790 3.728 12.412
Li 11.954 1.743 8.561
Li 12.159 1.626 11.190
Li 13.299 4.146 6.993
Ti 1.160 1.743 8.452
Ti 2.294 0.922 11.194
Ti 4.578 3.425 4.201
Ti 5.712 4.245 1.459
Ti 8.031 0.760 8.452
Ti 9.165 1.580 11.194
Ti 11.449 4.082 4.201
Ti 12.583 3.262 1.459
Si 0.306 0.814 3.165
Si 0.801 3.437 12.721
Si 2.635 4.250 6.945
Si 3.070 0.899 2.506
Si 3.801 3.401 9.499
Si 4.237 1.748 13.939
Si 6.070 0.934 5.728
Si 6.566 3.316 10.158
Si 7.177 1.688 3.165
Si 7.673 4.070 12.721
Si 9.506 3.256 6.945
Si 9.942 1.603 2.506
Si 10.673 4.106 9.499
Si 11.108 0.754 13.939
Si 12.942 1.568 5.728
Si 13.437 4.191 10.158
O 0.343 2.237 2.417
O 0.438 3.843 0.274
O 0.493 1.050 4.788
O 0.921 0.191 9.826
O 0.966 1.847 12.406
O 1.318 3.385 7.305
O 1.701 4.966 2.778
O 2.106 4.298 12.308
O 2.458 0.834 7.287
O 2.550 2.420 9.799
O 2.937 1.275 0.906
O 2.986 2.248 3.394
O 3.008 4.125 5.363
O 3.864 1.623 12.356
O 3.885 4.750 10.387
O 3.935 3.778 7.900
O 4.321 4.923 2.806
O 4.413 3.336 0.294
O 4.765 1.796 5.315
O 5.170 2.464 9.771
O 5.553 0.883 0.312
O 5.905 4.350 5.413
O 5.951 2.693 2.833
O 6.378 3.553 11.781
O 6.434 1.341 7.267
O 6.529 4.740 9.410
O 7.214 0.265 2.417
O 7.309 3.663 0.274
O 7.364 1.452 4.788
O 7.792 2.312 9.826
O 7.838 0.655 12.406
O 8.190 4.122 7.305
O 8.573 2.541 2.778
O 8.978 3.209 12.308
O 9.330 1.668 7.287
O 9.421 0.082 9.799
O 9.808 1.227 0.906
O 9.858 0.254 3.394
O 9.879 3.381 5.363
O 10.735 0.879 12.356
O 10.757 2.756 10.387
O 10.806 3.729 7.900
O 11.193 2.584 2.806
O 11.285 4.170 0.294
O 11.636 0.706 5.315
O 12.042 0.039 9.771
O 12.424 1.619 0.312
O 12.776 3.157 5.413
O 12.822 4.814 2.833
O 13.250 3.954 11.781
O 13.305 1.161 7.267
O 13.400 2.767 9.410
```

---

The following is a meta-GGA SCAN calculation of a crystal of ZrZnIn2 relaxed with PBEsol, from Alexandria.

Values from the calculation:
E_tot (eV/atom): -27.607
Formation energy from the elements (eV per atom): 0.139
Fermi-level density of states (states/eV per cell): 3.2

Structure (extended XYZ):
```
4
Lattice="0.000 3.452 3.452 3.452 0.000 3.452 3.452 3.452 0.000" Properties=species:S:1:pos:R:3 pbc="T T T"
Zr 0.000 0.000 0.000
Zn 1.726 1.726 1.726
In 3.452 3.452 3.452
In 5.178 5.178 5.178
```

---

The following is a meta-GGA SCAN calculation of a crystal of Sr4CaCl10 relaxed with PBEsol, from Alexandria.

Values from the calculation:
E_tot (eV/atom): -14.642
Fermi-level density of states (states/eV per cell): 0.0
Energy relative to the elements, uncorrected (eV/atom): -2.7387

Structure (extended XYZ):
```
15
Lattice="-2.428 3.431 12.105 2.428 -3.431 12.105 2.428 3.431 -12.105" Properties=species:S:1:pos:R:3 pbc="T T T"
Sr 0.000 0.000 2.372
Sr 0.000 0.000 7.292
Sr 0.000 0.000 16.917
Sr 0.000 0.000 21.838
Ca 0.000 0.000 12.105
Cl 2.428 -1.725 7.279
Cl 2.428 1.743 -2.340
Cl 0.000 1.789 0.000
Cl 2.428 1.743 2.340
Cl 0.000 1.707 4.826
Cl 2.428 1.725 7.279
Cl 0.000 1.689 9.765
Cl 0.000 5.074 0.000
Cl 0.000 1.689 14.445
Cl 0.000 5.156 4.826
```

---

The following is a meta-GGA SCAN calculation of a crystal of Tl2PtPb relaxed with PBEsol, from Alexandria.

Values from the calculation:
E_tot (eV/atom): -72.440
Formation energy from the elements (eV per atom): 0.233
Fermi-level density of states (states/eV per cell): 2.4

Structure (extended XYZ):
```
4
Lattice="-2.175 2.175 4.992 2.175 -2.175 4.992 2.175 2.175 -4.992" Properties=species:S:1:pos:R:3 pbc="T T T"
Tl 2.175 0.000 2.496
Tl 0.000 2.175 2.496
Pt 0.000 0.000 0.000
Pb 0.000 0.000 4.992
```

---

The following is a meta-GGA SCAN calculation of a crystal of LiNiCl2 relaxed with PBEsol, from Alexandria.

Values from the calculation:
E_tot (eV/atom): -9.613
Fermi-level density of states (states/eV per cell): 4.7
Energy relative to the elements, uncorrected (eV/atom): -0.9830

Structure (extended XYZ):
```
4
Lattice="1.777 1.026 5.618 -1.777 1.026 5.618 0.000 -2.052 5.618" Properties=species:S:1:pos:R:3 pbc="T T T"
Li 0.000 0.000 0.000
Ni 0.000 0.000 8.427
Cl 0.000 0.000 4.150
Cl 0.000 0.000 12.705
```

---

The following is a meta-GGA SCAN calculation of a crystal of BaCr2P relaxed with PBEsol, from Alexandria.

Values from the calculation:
E_tot (eV/atom): -21.501
Formation energy from the elements (eV per atom): 0.179
Fermi-level density of states (states/eV per cell): 2.7

Structure (extended XYZ):
```
4
Lattice="-1.665 2.837 4.715 1.665 -2.837 4.715 1.665 2.837 -4.715" Properties=species:S:1:pos:R:3 pbc="T T T"
Ba 0.000 0.000 0.000
Cr 1.665 0.000 3.061
Cr 0.000 2.837 1.653
P 0.000 0.000 4.715
```

---

The following is a meta-GGA SCAN calculation of a crystal of NiPdSe2N relaxed with PBEsol, from Alexandria.

Values from the calculation:
E_tot (eV/atom): -19.137
Fermi-level density of states (states/eV per cell): 2.7
Energy relative to the elements, uncorrected (eV/atom): 0.5418

Structure (extended XYZ):
```
5
Lattice="4.847 0.000 0.000 0.000 4.847 0.000 0.000 0.000 3.300" Properties=species:S:1:pos:R:3 pbc="T T T"
Ni 0.000 0.000 0.000
Pd 2.424 2.424 1.650
Se 0.000 2.424 0.000
Se 2.424 0.000 0.000
N 0.000 0.000 1.650
```

---

The following is a meta-GGA SCAN calculation of a crystal of BeIr2Os relaxed with PBEsol, from Alexandria.

Values from the calculation:
E_tot (eV/atom): -54.741
Formation energy from the elements (eV per atom): -0.133
Fermi-level density of states (states/eV per cell): 2.8

Structure (extended XYZ):
```
4
Lattice="1.347 0.778 8.173 -1.347 0.778 8.173 0.000 -1.556 8.173" Properties=species:S:1:pos:R:3 pbc="T T T"
Be 0.000 0.000 0.000
Ir 0.000 0.000 6.289
Ir 0.000 0.000 18.232
Os 0.000 0.000 12.260
```

---

The following is a meta-GGA SCAN calculation of a crystal of TaOs3 relaxed with PBEsol, from Alexandria.

Values from the calculation:
E_tot (eV/atom): -70.751
Formation energy from the elements (eV per atom): -0.195
Fermi-level density of states (states/eV per cell): 4.0

Structure (extended XYZ):
```
4
Lattice="3.892 0.000 0.000 0.000 3.892 0.000 0.000 0.000 3.892" Properties=species:S:1:pos:R:3 pbc="T T T"
Ta 0.000 0.000 0.000
Os 0.000 1.946 1.946
Os 1.946 0.000 1.946
Os 1.946 1.946 0.000
```

---

The following is a meta-GGA SCAN calculation of a crystal of Er2SiSeO4 relaxed with PBEsol, from Alexandria.

Values from the calculation:
E_tot (eV/atom): -22.772
Fermi-level density of states (states/eV per cell): 0.0
Energy relative to the elements, uncorrected (eV/atom): -3.3099

Structure (extended XYZ):
```
32
Lattice="5.926 0.000 0.000 0.000 6.829 0.000 0.000 0.000 10.623" Properties=species:S:1:pos:R:3 pbc="T T T"
Er 0.634 1.707 0.000
Er 0.634 1.707 5.311
Er 2.178 3.596 2.656
Er 2.178 6.646 7.967
Er 3.748 0.182 2.656
Er 3.748 3.232 7.967
Er 5.292 5.121 0.000
Er 5.292 5.121 5.311
Si 2.300 5.121 0.000
Si 2.300 5.121 5.311
Si 3.627 1.707 0.000
Si 3.627 1.707 5.311
Se 0.470 4.275 7.967
Se 0.470 5.968 2.656
Se 5.456 0.861 7.967
Se 5.456 2.554 2.656
O 1.314 3.863 0.350
O 1.314 3.863 4.961
O 1.314 6.379 5.661
O 1.314 6.379 10.273
O 2.617 1.658 6.612
O 2.617 1.658 9.322
O 2.617 1.756 1.300
O 2.617 1.756 4.011
O 3.310 5.072 6.612
O 3.310 5.072 9.322
O 3.310 5.171 1.300
O 3.310 5.171 4.011
O 4.612 0.449 0.350
O 4.612 0.449 4.961
O 4.612 2.965 5.661
O 4.612 2.965 10.273
```

---

The following is a meta-GGA SCAN calculation of a crystal of BiF4 relaxed with PBEsol, from Alexandria.

Values from the calculation:
E_tot (eV/atom): -20.476
Energy relative to the elements, uncorrected (eV/atom): -1.9283

Structure (extended XYZ):
```
10
Lattice="-2.673 2.673 5.474 2.673 -2.673 5.474 2.673 2.673 -5.474" Properties=species:S:1:pos:R:3 pbc="T T T"
Bi 0.000 0.000 0.000
Bi 0.000 0.000 5.474
F 1.257 1.257 -1.215
F 1.416 -1.416 4.260
F 1.257 1.257 1.215
F 1.416 -1.416 6.689
F -1.416 1.416 4.260
F 1.416 1.416 4.260
F -1.416 1.416 6.689
F 1.416 1.416 6.689
```

---

The following is a meta-GGA SCAN calculation of a crystal of ErPd3S4 relaxed with PBEsol, from Alexandria.

Values from the calculation:
E_tot (eV/atom): -24.408
Fermi-level density of states (states/eV per cell): 5.8
Energy relative to the elements, uncorrected (eV/atom): -1.0106

Structure (extended XYZ):
```
16
Lattice="6.574 0.000 0.000 0.000 6.574 0.000 0.000 0.000 6.574" Properties=species:S:1:pos:R:3 pbc="T T T"
Er 0.000 0.000 0.000
Er 3.287 3.287 3.287
Pd 0.000 1.643 3.287
Pd 0.000 4.930 3.287
Pd 1.643 3.287 0.000
Pd 3.287 0.000 1.643
Pd 3.287 0.000 4.930
Pd 4.930 3.287 0.000
S 1.643 1.643 1.643
S 1.643 1.643 4.930
S 1.643 4.930 1.643
S 1.643 4.930 4.930
S 4.930 1.643 1.643
S 4.930 1.643 4.930
S 4.930 4.930 1.643
S 4.930 4.930 4.930
```